# 1
## Np2SnSe5 (PBE)

Data for an optimized crystal structure of Np2SnSe5.

As for the energy relative to the elements, uncorrected: -0.878 eV/atom.

CIF file:
```
data_Np2SnSe5
_chemical_formula_sum 'Np4 Sn2 Se10'
_space_group_name_H-M_alt 'P b a m'
_space_group_IT_number 55
_cell_length_a 8.039
_cell_length_b 12.189
_cell_length_c 4.001
_cell_angle_alpha 90.00
_cell_angle_beta 90.00
_cell_angle_gamma 90.00
loop_
_space_group_symop_operation_xyz
'x,y,z'
'-x,-y,-z'
'-x,-y,z'
'x,y,-z'
'x+1/2,-y+1/2,-z'
'-x+1/2,y+1/2,z'
'-x+1/2,y+1/2,-z'
'x+1/2,-y+1/2,z'
loop_
_atom_site_label
_atom_site_type_symbol
_atom_site_fract_x
_atom_site_fract_y
_atom_site_fract_z
Np1 Np 0.027 0.174 0.000
Sn1 Sn 0.000 0.500 0.500
Se1 Se 0.000 0.000 0.500
Se2 Se 0.173 0.395 0.000
Se3 Se 0.181 0.697 0.500
```


# 2
## Cu3SiMo (PBE)

Data for an optimized crystal structure of Cu3SiMo.

As for the energy relative to the elements, uncorrected: 0.896 eV/atom.

CIF file:
```
data_Cu3SiMo
_chemical_formula_sum 'Cu3 Si1 Mo1'
_space_group_name_H-M_alt 'P m -3 m'
_space_group_IT_number 221
_space_group_name_Hall '-P 4 2 3'
_cell_length_a 4.251
_cell_length_b 4.251
_cell_length_c 4.251
_cell_angle_alpha 90.00
_cell_angle_beta 90.00
_cell_angle_gamma 90.00
loop_
_atom_site_label
_atom_site_type_symbol
_atom_site_fract_x
_atom_site_fract_y
_atom_site_fract_z
Cu1 Cu 0.000 0.000 0.500
Si1 Si 0.000 0.000 0.000
Mo1 Mo 0.500 0.500 0.500
```


# 3
## Th7Sc (PBE)

Data for an optimized crystal structure of Th7Sc.

CIF file:
```
data_Th7Sc
_chemical_formula_sum 'Th28 Sc4'
_space_group_name_H-M_alt 'F m -3 m'
_space_group_IT_number 225
_space_group_name_Hall '-F 4 2 3'
_cell_length_a 9.999
_cell_length_b 9.999
_cell_length_c 9.999
_cell_angle_alpha 90.00
_cell_angle_beta 90.00
_cell_angle_gamma 90.00
loop_
_atom_site_label
_atom_site_type_symbol
_atom_site_fract_x
_atom_site_fract_y
_atom_site_fract_z
Th1 Th 0.000 0.000 0.000
Th2 Th 0.000 0.250 0.250
Sc1 Sc 0.000 0.000 0.500
```


# 4
## SrHo6 (PBE)

Data for an optimized crystal structure of SrHo6.

CIF file:
```
data_SrHo6
_chemical_formula_sum 'Sr2 Ho12'
_space_group_name_H-M_alt 'I m -3 m'
_space_group_IT_number 229
_space_group_name_Hall '-I 4 2 3'
_cell_length_a 8.407
_cell_length_b 8.407
_cell_length_c 8.407
_cell_angle_alpha 90.00
_cell_angle_beta 90.00
_cell_angle_gamma 90.00
loop_
_atom_site_label
_atom_site_type_symbol
_atom_site_fract_x
_atom_site_fract_y
_atom_site_fract_z
Sr1 Sr 0.000 0.000 0.000
Ho1 Ho 0.000 0.250 0.500
```


| no. | final energy (eV per cell) | calculated volume (Å³/f.u.) | spin magnetization (μB/atom) |
| --- | --- | --- | --- |
| 1 | -108.67 | 196 | 0.948 |
| 2 | -24.06 | 77 | 0.000 |
| 3 | -232.07 | 250 | 0.000 |
| 4 | -39.61 | 297 | 0.000 |